# 1
First-principles (PBE with a Hubbard U) data for Na2CrMoO6 after structural relaxation, as listed in Alexandria.

a b c (Å): 3.848 5.483 5.483
angles (deg): 90.00 90.00 90.00
Positions (direct):
Na  0.145  0.500  0.000
Na  0.145  0.000  0.500
Cr  0.644  0.000  0.000
Mo  0.646  0.500  0.500
O  0.644  0.253  0.253
O  0.644  0.253  0.747
O  0.145  0.500  0.500
O  0.144  0.000  0.000
O  0.644  0.747  0.747
O  0.644  0.747  0.253

* total energy: -6.336 eV per atom
* calculated density: 4.2 g/cm3


# 2
First-principles (PBE with a Hubbard U) data for Na3Cr2MoO6 after structural relaxation, as listed in Alexandria.

a b c (Å): 5.417 5.417 5.677
angles (deg): 99.15 99.15 120.01
Positions (direct):
Na  0.167  0.833  0.500
Na  0.833  0.167  0.500
Na  0.500  0.500  0.500
Cr  0.333  0.667  0.000
Cr  0.667  0.333  0.000
Mo  0.000  0.000  0.000
O  0.933  0.586  0.800
O  0.719  0.719  0.201
O  0.067  0.414  0.200
O  0.586  0.933  0.800
O  0.281  0.281  0.799
O  0.414  0.067  0.200

* total energy: -6.484 eV per atom
* calculated density: 4.4 g/cm3


# 3
First-principles (PBE with a Hubbard U) data for Na3CrMo3O8 after structural relaxation, as listed in Alexandria.

a b c (Å): 6.230 6.393 6.677
angles (deg): 119.51 90.00 119.16
Positions (direct):
Na  0.000  0.000  0.000
Na  0.000  0.500  0.000
Na  0.500  0.500  0.000
Cr  0.000  0.000  0.500
Mo  0.500  0.000  0.500
Mo  0.500  0.500  0.500
Mo  0.000  0.500  0.500
O  0.263  0.526  0.291
O  0.737  0.474  0.709
O  0.776  0.552  0.306
O  0.224  0.448  0.694
O  0.778  0.033  0.307
O  0.222  0.967  0.693
O  0.255  0.033  0.307
O  0.745  0.967  0.693

* total energy: -6.543 eV per atom
* calculated density: 4.6 g/cm3